[1]
VASP calculation (PBE-GGA) on a relaxed Tb5Bi2H crystal.

Cell: 6.6936 6.6936 6.6936 Å, 116.63 116.63 95.94°
Element x y z (fractional)
Tb1 0.0000 0.0000 0.0000
Tb2 0.4946 0.4946 0.4981
Tb3 0.4946 0.9964 0.0000
Tb4 0.9964 0.4946 0.0000
Tb5 0.9964 0.9964 0.5019
Bi1 0.4953 0.9953 0.5000
Bi2 0.9953 0.4953 0.5000
H1 0.2546 0.2546 0.0000

## Properties
calculated volume = 221.57 Å³/f.u.
Fermi-level density of states = 8.22 states/eV per cell
crystal system = tetragonal
E = -4.6567 eV per atom

[2]
VASP calculation (PBE-GGA) on a relaxed TiBiOF2 crystal.

Cell: 4.6006 4.6006 4.5371 Å, 90.00 90.00 90.00°
Element x y z (fractional)
Ti1 0.0000 0.0000 0.0000
Bi1 0.5000 0.5000 0.5000
O1 0.5000 0.5000 0.0000
F1 0.0000 0.5000 0.5000
F2 0.5000 0.0000 0.5000

## Properties
calculated volume = 96.03 Å³/f.u.
energy relative to the elements, uncorrected = -0.786 eV per atom
Fermi-level density of states = 16.40 states/eV per cell
crystal system = tetragonal
energy above the most stable polymorph in this dataset = 5.57 eV/f.u.